DFT (GGA+U) results for Be2FePF after structural relaxation.

abc: 4.2584 3.9746 4.2584
angles: 90.00 90.00 90.00
Element x y z (fractional)
P (0.0000, 0.5000, 0.0000)
Be (0.0000, 0.0000, 0.5000)
Be (0.5000, 0.0000, 0.0000)
Fe (0.0000, 0.0000, 0.0000)
F (0.5000, 0.5000, 0.5000)

Computed properties:
E_tot   -17.6 eV for the cell shown
Density of states at the Fermi level   0.32 states/eV per atom